Here is a geometry-optimized HfNbZn structure from the Alexandria database. Energies are from PBE.

The structure in POSCAR format:
```
HfNbZn
1.0
4.573 0.000 0.000
0.000 3.587 0.000
0.000 0.000 13.325
Nb Hf Zn
4 4 4
Cartesian
2.286 0.000 4.891 Nb
2.286 1.794 11.553 Nb
2.286 0.000 9.520 Nb
2.286 1.794 2.858 Nb
2.286 0.000 0.629 Hf
2.286 1.794 7.291 Hf
0.000 0.000 11.687 Hf
0.000 1.794 5.024 Hf
0.000 0.000 2.703 Zn
0.000 1.794 9.365 Zn
0.000 0.000 7.399 Zn
0.000 1.794 0.736 Zn
```

Values from the calculation:
energy of formation: -36 meV per atom
DFT total energy: -7.135 eV per atom
space-group type: Amm2 (38)
polymorph energy (0 for the lowest one): 0.11 eV per formula unit